1.
VASP calculation (PBE-GGA) on Ac3Al3Zn2 after structural relaxation.

Cell: 4.841 11.236 15.846 Å, 90.00 90.00 90.00°
Space group Cmcm (No. 63)
Unique sites:
Ac 0.000 0.103 0.108 [8 per cell]
Ac 0.000 0.389 0.250 [4 per cell]
Al 0.000 0.312 0.750 [4 per cell]
Al 0.000 0.387 0.035 [8 per cell]
Zn 0.000 0.198 0.596 [8 per cell]

***

2.
VASP calculation (PBE-GGA) on Ac8Al2Zn after structural relaxation.

Cell: 20.160 5.542 7.515 Å, 90.00 102.92 90.00°
Space group C2/m (No. 12)
Unique sites:
Ac 0.022 0.000 0.273 [4 per cell]
Ac 0.094 0.500 0.962 [4 per cell]
Ac 0.159 0.500 0.470 [4 per cell]
Ac 0.207 0.000 0.808 [4 per cell]
Al 0.187 0.000 0.237 [4 per cell]
Zn 0.000 0.500 0.500 [2 per cell]

***

3.
VASP calculation (PBE-GGA) on AcAlZn after structural relaxation.

Cell: 11.089 4.770 7.964 Å, 90.00 133.67 90.00°
Space group C2/m (No. 12)
Unique sites:
Ac 0.042 0.000 0.297 [4 per cell]
Al 0.161 0.500 0.104 [4 per cell]
Zn 0.169 0.500 0.731 [4 per cell]

Calculated values
The distance to the lowest polymorph of the same formula is 0.000 eV/atom.

***

4.
VASP calculation (PBE-GGA) on AcAlZn2 after structural relaxation.

Cell: 7.143 7.143 7.143 Å, 90.00 90.00 90.00°
Space group Fm-3m (No. 225)
Unique sites:
Ac 0.000 0.000 0.000 [4 per cell]
Al 0.000 0.000 0.500 [4 per cell]
Zn 0.250 0.250 0.250 [8 per cell]

Calculated values
The distance to the lowest polymorph of the same formula is 0.103 eV/atom.

***

5.
VASP calculation (PBE-GGA) on AcAl6Zn12 after structural relaxation.

Cell: 11.2461 11.2461 9.4823 Å, 90.00 90.00 120.00°
Space group R-3m (No. 166, hexagonal axes)
Unique sites:
Ac 0.0000 0.0000 0.0000 [3 per cell]
Al 0.0583 0.5292 0.2299 [18 per cell]
Zn 0.0000 0.3931 0.5000 [18 per cell]
Zn 0.0826 0.1653 0.2973 [18 per cell]

***

6.
VASP calculation (PBE-GGA) on AcAl2Zn3 after structural relaxation.

Cell: 5.7633 5.7633 4.2060 Å, 90.00 90.00 120.00°
Space group P6/mmm (No. 191)
Unique sites:
Ac 0.0000 0.0000 0.0000 [1 per cell]
Al 0.3333 0.6667 0.0000 [2 per cell]
Zn 0.0000 0.5000 0.5000 [3 per cell]

Calculated values
The distance to the lowest polymorph of the same formula is 0.007 eV/atom.

***

7.
VASP calculation (PBE-GGA) on AcAl2Zn2 after structural relaxation.

Cell: 4.329 4.329 5.682 Å, 90.00 90.00 90.00°
Space group P4/mmm (No. 123)
Unique sites:
Ac 0.000 0.000 0.000 [1 per cell]
Al 0.000 0.500 0.500 [2 per cell]
Zn 0.500 0.500 0.224 [2 per cell]

Calculated values
The distance to the lowest polymorph of the same formula is 0.040 eV/atom.

***

8.
VASP calculation (PBE-GGA) on AcAlZn after structural relaxation.

Cell: 6.950 6.950 6.950 Å, 90.00 90.00 90.00°
Space group F-43m (No. 216)
Unique sites:
Ac 0.000 0.000 0.000 [4 per cell]
Al 0.000 0.000 0.500 [4 per cell]
Zn 0.250 0.250 0.750 [4 per cell]

Calculated values
The distance to the lowest polymorph of the same formula is 0.144 eV/atom.

***

9.
VASP calculation (PBE-GGA) on Ac2Al5Zn3 after structural relaxation.

Cell: 10.999 12.529 6.244 Å, 90.00 90.00 90.00°
Space group Ibam (No. 72)
Unique sites:
Ac 0.245 0.126 0.000 [8 per cell]
Al 0.000 0.259 0.250 [8 per cell]
Al 0.000 0.500 0.250 [4 per cell]
Al 0.129 0.125 0.500 [8 per cell]
Zn 0.000 0.000 0.250 [4 per cell]
Zn 0.136 0.379 0.000 [8 per cell]

Calculated values
The distance to the lowest polymorph of the same formula is 0.000 eV/atom.

***

10.
VASP calculation (PBE-GGA) on Ac3Al2Zn4 after structural relaxation.

Cell: 11.705 4.648 9.006 Å, 90.00 108.27 90.00°
Space group C2/m (No. 12)
Unique sites:
Ac 0.000 0.000 0.000 [2 per cell]
Ac 0.134 0.500 0.680 [4 per cell]
Al 0.156 0.500 0.311 [4 per cell]
Zn 0.104 0.000 0.417 [4 per cell]
Zn 0.227 0.500 0.062 [4 per cell]

***

11.
VASP calculation (PBE-GGA) on AcAl12Zn4 after structural relaxation.

Cell: 8.883 8.883 8.883 Å, 90.00 90.00 90.00°
Space group Im-3 (No. 204)
Unique sites:
Ac 0.000 0.000 0.000 [2 per cell]
Al 0.000 0.158 0.353 [24 per cell]
Zn 0.250 0.250 0.250 [8 per cell]

***

12.
VASP calculation (PBE-GGA) on Ac2AlZn5 after structural relaxation.

Cell: 4.705 16.982 9.186 Å, 90.00 90.00 90.00°
Space group Cmcm (No. 63)
Unique sites:
Ac 0.000 0.000 0.000 [4 per cell]
Ac 0.000 0.210 0.250 [4 per cell]
Al 0.000 0.438 0.750 [4 per cell]
Zn 0.000 0.183 0.608 [8 per cell]
Zn 0.000 0.351 0.516 [8 per cell]
Zn 0.000 0.409 0.250 [4 per cell]

Calculated values
The distance to the lowest polymorph of the same formula is 0.000 eV/atom.

***

13.
VASP calculation (PBE-GGA) on Ac3Al3Zn8 after structural relaxation.

Cell: 4.576 9.703 13.572 Å, 90.00 90.00 90.00°
Space group Immm (No. 71)
Unique sites:
Ac 0.000 0.000 0.000 [2 per cell]
Ac 0.000 0.000 0.301 [4 per cell]
Al 0.000 0.206 0.500 [4 per cell]
Al 0.000 0.500 0.000 [2 per cell]
Zn 0.000 0.278 0.138 [8 per cell]
Zn 0.000 0.361 0.341 [8 per cell]

Calculated values
The distance to the lowest polymorph of the same formula is 0.004 eV/atom.

***

14.
VASP calculation (PBE-GGA) on Ac2Al5Zn2 after structural relaxation.

Cell: 4.461 4.461 10.360 Å, 90.00 90.00 90.00°
Space group P4/mmm (No. 123)
Unique sites:
Ac 0.000 0.000 0.000 [1 per cell]
Ac 0.000 0.000 0.500 [1 per cell]
Al 0.000 0.500 0.234 [4 per cell]
Al 0.500 0.500 0.000 [1 per cell]
Zn 0.500 0.500 0.379 [2 per cell]

***

15.
VASP calculation (PBE-GGA) on Ac2Al5Zn12 after structural relaxation.

Cell: 9.3203 9.3203 13.6175 Å, 90.00 90.00 120.00°
Space group R-3m (No. 166, hexagonal axes)
Unique sites:
Ac 0.0000 0.0000 0.1646 [6 per cell]
Al 0.0000 0.0000 0.4025 [6 per cell]
Al 0.0000 0.5000 0.0000 [9 per cell]
Zn 0.0000 0.2910 0.5000 [18 per cell]
Zn 0.0062 0.5031 0.6548 [18 per cell]

***

16.
VASP calculation (PBE-GGA) on AcAlZn3 after structural relaxation.

Cell: 4.919 4.919 4.881 Å, 90.00 90.00 90.00°
Space group P4/mmm (No. 123)
Unique sites:
Ac 0.000 0.000 0.000 [1 per cell]
Al 0.500 0.500 0.500 [1 per cell]
Zn 0.000 0.500 0.500 [2 per cell]
Zn 0.500 0.500 0.000 [1 per cell]

Calculated values
The distance to the lowest polymorph of the same formula is 0.347 eV/atom.

***

17.
VASP calculation (PBE-GGA) on Ac2Al5Zn3 after structural relaxation.

Cell: 4.474 4.474 10.821 Å, 90.00 90.00 90.00°
Space group P-4m2 (No. 115)
Unique sites:
Ac 0.000 0.500 0.246 [2 per cell]
Al 0.000 0.000 0.500 [1 per cell]
Al 0.000 0.500 0.639 [2 per cell]
Al 0.500 0.500 0.000 [1 per cell]
Al 0.500 0.500 0.500 [1 per cell]
Zn 0.000 0.000 0.000 [1 per cell]
Zn 0.000 0.500 0.876 [2 per cell]

Calculated values
The distance to the lowest polymorph of the same formula is 0.025 eV/atom.

***

18.
VASP calculation (PBE-GGA) on Ac3AlZn after structural relaxation.

Cell: 5.627 21.199 5.632 Å, 90.00 90.00 90.00°
Space group Cmcm (No. 63)
Unique sites:
Ac 0.000 0.068 0.250 [4 per cell]
Ac 0.000 0.249 0.250 [4 per cell]
Ac 0.000 0.429 0.250 [4 per cell]
Al 0.000 0.158 0.750 [4 per cell]
Zn 0.000 0.343 0.750 [4 per cell]

***

19.
VASP calculation (PBE-GGA) on Ac3Al9Zn2 after structural relaxation.

Cell: 4.546 10.359 13.294 Å, 90.00 90.00 90.00°
Space group Immm (No. 71)
Unique sites:
Ac 0.000 0.000 0.000 [2 per cell]
Ac 0.000 0.000 0.317 [4 per cell]
Al 0.000 0.274 0.135 [8 per cell]
Al 0.000 0.366 0.336 [8 per cell]
Al 0.000 0.500 0.000 [2 per cell]
Zn 0.000 0.223 0.500 [4 per cell]

***

20.
VASP calculation (PBE-GGA) on Ac8AlZn2 after structural relaxation.

Cell: 19.807 5.597 7.755 Å, 90.00 108.70 90.00°
Space group C2/m (No. 12)
Unique sites:
Ac 0.027 0.000 0.278 [4 per cell]
Ac 0.091 0.500 0.962 [4 per cell]
Ac 0.171 0.500 0.481 [4 per cell]
Ac 0.197 0.000 0.821 [4 per cell]
Al 0.000 0.500 0.500 [2 per cell]
Zn 0.179 0.000 0.210 [4 per cell]

***

Number 1: E_form -0.328 eV per atom, spin magnetization 0.000 μB per cell. Number 2: E_form -0.091 eV per atom, spin magnetization 0.000 μB per cell. Number 3: E_form -0.350 eV per atom, spin magnetization 0.000 μB per cell. Number 4: E_form -0.185 eV per atom, spin magnetization 0.000 μB per cell. Number 5: E_form 0.014 eV per atom, spin magnetization 0.000 μB per cell. Number 6: E_form -0.232 eV per atom, spin magnetization 0.000 μB per cell. Number 7: E_form -0.359 eV per atom, spin magnetization 0.000 μB per cell. Number 8: E_form -0.206 eV per atom, spin magnetization 0.000 μB per cell. Number 9: E_form -0.391 eV per atom, spin magnetization 0.000 μB per cell. Number 10: E_form -0.315 eV per atom, spin magnetization 0.001 μB per cell. Number 11: E_form 0.153 eV per atom, spin magnetization 0.000 μB per cell. Number 12: E_form -0.305 eV per atom, spin magnetization 0.000 μB per cell. Number 13: E_form -0.289 eV per atom, spin magnetization 0.000 μB per cell. Number 14: E_form -0.215 eV per atom, spin magnetization 0.000 μB per cell. Number 15: E_form -0.203 eV per atom, spin magnetization 0.000 μB per cell. Number 16: E_form 0.012 eV per atom, spin magnetization 0.000 μB per cell. Number 17: E_form -0.365 eV per atom, spin magnetization 0.000 μB per cell. Number 18: E_form -0.177 eV per atom, spin magnetization 0.005 μB per cell. Number 19: E_form -0.308 eV per atom, spin magnetization 0.000 μB per cell. Number 20: E_form -0.076 eV per atom, spin magnetization 0.000 μB per cell.